Arrangement P

The following is a PBE calculation of a geometry-optimized AgSnTeO structure, from the Open Quantum Materials Database.

abc: 3.736 15.647 6.171
angles: 90.00 90.00 90.00
Space group Cmc2_1 (No. 36)
Asymmetric unit:
Ag 0.000 0.038 0.000 x4
Sn 0.000 0.336 0.108 x4
Te 0.000 0.338 0.615 x4
O 0.000 0.094 0.623 x4

Crystal system ... orthorhombic

Arrangement Q

The following is a PBE calculation of a geometry-optimized AgSnTeO structure, from the Open Quantum Materials Database.

abc: 6.333 4.150 14.333
angles: 90.00 90.00 90.00
Space group Pnma (No. 62)
Asymmetric unit:
Ag 0.199 0.250 0.097 x4
Sn 0.089 0.750 0.325 x4
Te 0.231 0.750 0.949 x4
O 0.241 0.250 0.701 x4

Crystal system ... orthorhombic

Winner for stability: arrangement Q

Arrangement P

The following is a PBE calculation of a geometry-optimized AgSnTeO structure, from the Open Quantum Materials Database.

abc: 3.966 3.966 12.698
angles: 90.00 90.00 90.00
Space group P4/nmm (No. 129, origin choice 2)
Asymmetric unit:
Ag 0.250 0.250 0.099 x2
Sn 0.250 0.250 0.589 x2
Te 0.250 0.250 0.871 x2
O 0.250 0.750 0.500 x2

Crystal system ... tetragonal

Arrangement Q

The following is a PBE calculation of a geometry-optimized AgSnTeO structure, from the Open Quantum Materials Database.

abc: 4.423 4.423 8.976
angles: 90.00 90.00 90.00
Space group P4/nmm (No. 129, origin choice 2)
Asymmetric unit:
Ag 0.250 0.250 0.018 x2
Sn 0.250 0.250 0.689 x2
Te 0.250 0.250 0.353 x2
O 0.250 0.750 0.000 x2

Crystal system ... tetragonal

Winner for stability: arrangement P

Arrangement P

The following is a PBE calculation of a geometry-optimized AgSnTeO structure, from the Open Quantum Materials Database.

abc: 4.460 15.273 5.665
angles: 90.00 90.00 90.00
Space group Cmc2_1 (No. 36)
Asymmetric unit:
Ag 0.000 0.170 0.000 x4
Sn 0.000 0.429 0.908 x4
Te 0.000 0.199 0.503 x4
O 0.000 0.446 0.543 x4

Crystal system ... orthorhombic

Arrangement Q

The following is a PBE calculation of a geometry-optimized AgSnTeO structure, from the Open Quantum Materials Database.

abc: 4.368 4.368 9.248
angles: 90.00 90.00 90.00
Space group P4/nmm (No. 129, origin choice 2)
Asymmetric unit:
Ag 0.250 0.250 0.245 x2
Sn 0.250 0.750 0.000 x2
Te 0.250 0.250 0.686 x2
O 0.250 0.250 0.485 x2

Crystal system ... tetragonal

Arrangement R

The following is a PBE calculation of a geometry-optimized AgSnTeO structure, from the Open Quantum Materials Database.

abc: 6.269 3.345 17.664
angles: 90.00 90.00 90.00
Space group Pnma (No. 62)
Asymmetric unit:
Ag 0.209 0.250 0.207 x4
Sn 0.241 0.750 0.401 x4
Te 0.243 0.750 0.082 x4
O 0.246 0.250 0.329 x4

Crystal system ... orthorhombic

Winner for stability: arrangement R

Arrangement P

The following is a PBE calculation of a geometry-optimized AgSnTeO structure, from the Open Quantum Materials Database.

abc: 6.825 8.111 6.465
angles: 90.00 90.00 90.00
Space group Pca2_1 (No. 29)
Asymmetric unit:
Ag 0.168 0.185 0.000 x4
Sn 0.168 0.575 0.916 x4
Te 0.044 0.864 0.135 x4
O 0.031 0.570 0.597 x4

Crystal system ... orthorhombic

Arrangement Q

The following is a PBE calculation of a geometry-optimized AgSnTeO structure, from the Open Quantum Materials Database.

abc: 6.284 9.118 6.146
angles: 90.00 90.00 90.00
Space group Pca2_1 (No. 29)
Asymmetric unit:
Ag 0.249 0.044 0.000 x4
Sn 0.041 0.679 0.755 x4
Te 0.022 0.317 0.754 x4
O 0.020 0.903 0.751 x4

Crystal system ... orthorhombic

Winner for stability: arrangement P

Arrangement P

The following is a PBE calculation of a geometry-optimized AgSnTeO structure, from the Open Quantum Materials Database.

abc: 6.987 7.940 13.348
angles: 90.00 90.00 90.00
Space group Pbca (No. 61)
Asymmetric unit:
Ag 0.035 0.240 0.071 x8
Sn 0.190 0.552 0.740 x8
Te 0.246 0.003 0.476 x8
O 0.055 0.211 0.747 x8

Crystal system ... orthorhombic

Arrangement Q

The following is a PBE calculation of a geometry-optimized AgSnTeO structure, from the Open Quantum Materials Database.

abc: 4.851 4.851 8.642
angles: 90.00 90.00 90.00
Space group P4/nmm (No. 129, origin choice 2)
Asymmetric unit:
Ag 0.250 0.250 0.172 x2
Sn 0.250 0.250 0.647 x2
Te 0.250 0.750 0.000 x2
O 0.250 0.250 0.424 x2

Crystal system ... tetragonal

Winner for stability: arrangement P

Arrangement P

The following is a PBE calculation of a geometry-optimized Sr2Ag2O5 structure, from the Open Quantum Materials Database.

abc: 4.542 4.542 8.106
angles: 90.00 90.00 90.00
Space group P4/mmm (No. 123)
Asymmetric unit:
Sr 0.000 0.000 0.221 x2
Ag 0.500 0.500 0.000 x1
Ag 0.500 0.500 0.500 x1
O 0.000 0.000 0.500 x1
O 0.000 0.500 0.093 x4

Crystal system ... tetragonal

Arrangement Q

The following is a PBE calculation of a geometry-optimized Sr2Ag2O5 structure, from the Open Quantum Materials Database.

abc: 4.129 4.129 7.453
angles: 90.00 90.00 90.00
Space group P4/mmm (No. 123)
Asymmetric unit:
Sr 0.000 0.000 0.000 x1
Sr 0.000 0.000 0.500 x1
Ag 0.500 0.500 0.220 x2
O 0.000 0.500 0.217 x4
O 0.500 0.500 0.500 x1

Crystal system ... tetragonal

Winner for stability: arrangement Q

Arrangement P

The following is a PBE calculation of a geometry-optimized Ta2AgO6 structure, from the Open Quantum Materials Database.

abc: 3.922 3.922 7.943
angles: 90.00 90.00 90.00
Space group P4/mmm (No. 123)
Asymmetric unit:
Ta 0.000 0.000 0.241 x2
Ag 0.500 0.500 0.500 x1
O 0.000 0.000 0.000 x1
O 0.000 0.000 0.500 x1
O 0.000 0.500 0.260 x4

Spin magnetization ... 0.1110 μB/atom
Crystal system ... tetragonal

Arrangement Q

The following is a PBE calculation of a geometry-optimized Ta2AgO6 structure, from the Open Quantum Materials Database.

abc: 9.959 3.824 6.799
angles: 90.00 114.89 90.00
Space group C2/m (No. 12)
Asymmetric unit:
Ta 0.182 0.000 0.137 x4
Ag 0.000 0.000 0.500 x2
O 0.011 0.000 0.193 x4
O 0.164 0.500 0.595 x4
O 0.198 0.500 0.066 x4

Spin magnetization ... 0.0003 μB/atom
Crystal system ... monoclinic

Winner for stability: arrangement Q

Arrangement P

The following is a PBE calculation of a geometry-optimized Tb2Ag2O5 structure, from the Open Quantum Materials Database.

abc: 4.104 4.104 6.983
angles: 90.00 90.00 90.00
Space group P4/mmm (No. 123)
Asymmetric unit:
Tb 0.000 0.000 0.000 x1
Tb 0.000 0.000 0.500 x1
Ag 0.500 0.500 0.192 x2
O 0.000 0.500 0.215 x4
O 0.500 0.500 0.500 x1

Spin magnetization ... 0.0007 μB/atom
Crystal system ... tetragonal

Arrangement Q

The following is a PBE calculation of a geometry-optimized Tb2Ag2O5 structure, from the Open Quantum Materials Database.

abc: 4.046 4.046 8.692
angles: 90.00 90.00 90.00
Space group P4/mmm (No. 123)
Asymmetric unit:
Tb 0.000 0.000 0.248 x2
Ag 0.500 0.500 0.000 x1
Ag 0.500 0.500 0.500 x1
O 0.000 0.000 0.500 x1
O 0.000 0.500 0.155 x4

Spin magnetization ... 0.2201 μB/atom
Crystal system ... tetragonal

Winner for stability: arrangement Q